! NdPaOs4 | Alexandria via LeMat-Bulk | PBE | optimized geometry; values from VASP
! DFT formation energy = -0.175 eV/atom
&SYSTEM
  ibrav = 0, nat = 6, ntyp = 3
/
ATOMIC_SPECIES
Nd 144.24 Nd.upf
Pa 231.04 Pa.upf
Os 190.23 Os.upf
CELL_PARAMETERS angstrom
5.401 0.000 0.000
2.701 4.677 0.000
2.701 1.559 4.410
ATOMIC_POSITIONS crystal
Nd 0.250 0.250 0.250
Pa 0.000 0.000 0.000
Os 0.625 0.625 0.125
Os 0.625 0.125 0.625
Os 0.625 0.625 0.625
Os 0.125 0.625 0.625